# Ho2Pu3ThSe6 | the Alexandria database | GGA-PBE | optimized geometry
# calculated total energy = -8.3223 eV per atom
# magnetic moment = 6.0 μB/f.u.
# ΔE_f (raw) = -1616 meV per atom
data_Ho2Pu3ThSe6
_cell_length_a 9.206
_cell_length_b 9.206
_cell_length_c 8.260
_cell_angle_alpha 102.11
_cell_angle_beta 102.11
_cell_angle_gamma 25.78
_space_group_name_H-M_alt 'P 1'
_space_group_IT_number 1
loop_
_space_group_symop_operation_xyz
'x,y,z'
loop_
_atom_site_label
_atom_site_type_symbol
_atom_site_fract_x
_atom_site_fract_y
_atom_site_fract_z
_atom_site_occupancy
Ho1 Ho 0.167 0.167 0.337 1
Ho2 Ho 0.833 0.833 0.663 1
Pu1 Pu 0.164 0.164 0.836 1
Pu2 Pu 0.500 0.500 0.500 1
Pu3 Pu 0.836 0.836 0.164 1
Th1 Th 0.500 0.500 0.000 1
Se1 Se 0.004 0.004 0.259 1
Se2 Se 0.330 0.330 0.908 1
Se3 Se 0.331 0.331 0.418 1
Se4 Se 0.669 0.669 0.582 1
Se5 Se 0.670 0.670 0.092 1
Se6 Se 0.996 0.996 0.741 1


# SbPd4Pb2 | the Alexandria database | GGA-PBE | optimized geometry
# calculated total energy = -4.5080 eV per atom
# magnetic moment = 0.0 μB/f.u.
# relative energy among the computed polymorphs = 388 meV/atom
# ΔE_f (raw) = 108 meV per atom
data_SbPd4Pb2
_cell_length_a 7.848
_cell_length_b 7.848
_cell_length_c 7.848
_cell_angle_alpha 142.88
_cell_angle_beta 142.88
_cell_angle_gamma 53.50
_space_group_name_H-M_alt 'P 1'
_space_group_IT_number 1
loop_
_space_group_symop_operation_xyz
'x,y,z'
loop_
_atom_site_label
_atom_site_type_symbol
_atom_site_fract_x
_atom_site_fract_y
_atom_site_fract_z
_atom_site_occupancy
Sb1 Sb 0.000 0.000 0.000 1
Pd1 Pd 0.000 0.500 0.500 1
Pd2 Pd 0.181 0.181 0.000 1
Pd3 Pd 0.500 0.000 0.500 1
Pd4 Pd 0.819 0.819 0.000 1
Pb1 Pb 0.373 0.373 0.000 1
Pb2 Pb 0.627 0.627 0.000 1


# Pr2CdCu | the Alexandria database | GGA-PBE | optimized geometry
# calculated total energy = -3.4349 eV per atom
# magnetic moment = 0.0 μB/f.u.
# relative energy among the computed polymorphs = 417 meV/atom
data_Pr2CdCu
_cell_length_a 11.257
_cell_length_b 11.257
_cell_length_c 11.257
_cell_angle_alpha 18.14
_cell_angle_beta 18.14
_cell_angle_gamma 18.14
_space_group_name_H-M_alt 'P 1'
_space_group_IT_number 1
loop_
_space_group_symop_operation_xyz
'x,y,z'
loop_
_atom_site_label
_atom_site_type_symbol
_atom_site_fract_x
_atom_site_fract_y
_atom_site_fract_z
_atom_site_occupancy
Pr1 Pr 0.102 0.102 0.102 1
Pr2 Pr 0.898 0.898 0.898 1
Cd1 Cd 0.000 0.000 0.000 1
Cu1 Cu 0.500 0.500 0.500 1


# SnPd4Se2 | the Alexandria database | GGA-PBE | optimized geometry
# calculated total energy = -4.7893 eV per atom
# magnetic moment = 0.0 μB/f.u.
# ΔE_f (raw) = -255 meV per atom
data_SnPd4Se2
_cell_length_a 5.787
_cell_length_b 5.787
_cell_length_c 13.079
_cell_angle_alpha 90.00
_cell_angle_beta 90.00
_cell_angle_gamma 143.93
_space_group_name_H-M_alt 'P 1'
_space_group_IT_number 1
loop_
_space_group_symop_operation_xyz
'x,y,z'
loop_
_atom_site_label
_atom_site_type_symbol
_atom_site_fract_x
_atom_site_fract_y
_atom_site_fract_z
_atom_site_occupancy
Sn1 Sn 0.027 0.973 0.750 1
Sn2 Sn 0.973 0.027 0.250 1
Pd1 Pd 0.000 0.000 0.000 1
Pd2 Pd 0.000 0.000 0.500 1
Pd3 Pd 0.335 0.665 0.750 1
Pd4 Pd 0.337 0.663 0.142 1
Pd5 Pd 0.337 0.663 0.358 1
Pd6 Pd 0.663 0.337 0.642 1
Pd7 Pd 0.663 0.337 0.858 1
Pd8 Pd 0.665 0.335 0.250 1
Se1 Se 0.356 0.644 0.558 1
Se2 Se 0.356 0.644 0.942 1
Se3 Se 0.644 0.356 0.058 1
Se4 Se 0.644 0.356 0.442 1


# Sr2MgSc | the Alexandria database | GGA-PBE | optimized geometry
# calculated total energy = -2.6454 eV per atom
# magnetic moment = 1.2 μB/f.u.
data_Sr2MgSc
_cell_length_a 6.995
_cell_length_b 6.995
_cell_length_c 6.118
_cell_angle_alpha 111.84
_cell_angle_beta 111.84
_cell_angle_gamma 32.28
_space_group_name_H-M_alt 'P 1'
_space_group_IT_number 1
loop_
_space_group_symop_operation_xyz
'x,y,z'
loop_
_atom_site_label
_atom_site_type_symbol
_atom_site_fract_x
_atom_site_fract_y
_atom_site_fract_z
_atom_site_occupancy
Sr1 Sr 0.000 0.000 0.000 1
Sr2 Sr 0.212 0.212 0.679 1
Mg1 Mg 0.749 0.749 0.210 1
Sc1 Sc 0.443 0.443 0.449 1


# KZr6Se12 | the Alexandria database | GGA-PBE | optimized geometry
# calculated total energy = -6.0346 eV per atom
# magnetic moment = 0.0 μB/f.u.
# ΔE_f (raw) = -1077 meV per atom
data_KZr6Se12
_cell_length_a 8.256
_cell_length_b 8.256
_cell_length_c 8.256
_cell_angle_alpha 106.45
_cell_angle_beta 106.45
_cell_angle_gamma 106.45
_space_group_name_H-M_alt 'P 1'
_space_group_IT_number 1
loop_
_space_group_symop_operation_xyz
'x,y,z'
loop_
_atom_site_label
_atom_site_type_symbol
_atom_site_fract_x
_atom_site_fract_y
_atom_site_fract_z
_atom_site_occupancy
K1 K 0.000 0.000 0.000 1
Zr1 Zr 0.266 0.266 0.658 1
Zr2 Zr 0.266 0.658 0.266 1
Zr3 Zr 0.342 0.734 0.734 1
Zr4 Zr 0.658 0.266 0.266 1
Zr5 Zr 0.734 0.342 0.734 1
Zr6 Zr 0.734 0.734 0.342 1
Se1 Se 0.123 0.500 0.877 1
Se2 Se 0.123 0.877 0.500 1
Se3 Se 0.160 0.427 0.427 1
Se4 Se 0.427 0.160 0.427 1
Se5 Se 0.427 0.427 0.160 1
Se6 Se 0.500 0.123 0.877 1
Se7 Se 0.500 0.877 0.123 1
Se8 Se 0.573 0.573 0.840 1
Se9 Se 0.573 0.840 0.573 1
Se10 Se 0.840 0.573 0.573 1
Se11 Se 0.877 0.123 0.500 1
Se12 Se 0.877 0.500 0.123 1


# CsAcIn2 | the Alexandria database | GGA-PBE | optimized geometry
# calculated total energy = -2.7994 eV per atom
# magnetic moment = 0.0 μB/f.u.
data_CsAcIn2
_cell_length_a 4.224
_cell_length_b 4.224
_cell_length_c 9.288
_cell_angle_alpha 90.00
_cell_angle_beta 90.00
_cell_angle_gamma 90.00
_space_group_name_H-M_alt 'P 1'
_space_group_IT_number 1
loop_
_space_group_symop_operation_xyz
'x,y,z'
loop_
_atom_site_label
_atom_site_type_symbol
_atom_site_fract_x
_atom_site_fract_y
_atom_site_fract_z
_atom_site_occupancy
Cs1 Cs 0.000 0.000 0.000 1
Ac1 Ac 0.000 0.000 0.500 1
In1 In 0.500 0.500 0.305 1
In2 In 0.500 0.500 0.695 1


# Ge2Ru2W | the Alexandria database | GGA-PBE | optimized geometry
# calculated total energy = -8.0968 eV per atom
# magnetic moment = 0.0 μB/f.u.
data_Ge2Ru2W
_cell_length_a 7.170
_cell_length_b 7.170
_cell_length_c 2.856
_cell_angle_alpha 90.00
_cell_angle_beta 90.00
_cell_angle_gamma 90.00
_space_group_name_H-M_alt 'P 1'
_space_group_IT_number 1
loop_
_space_group_symop_operation_xyz
'x,y,z'
loop_
_atom_site_label
_atom_site_type_symbol
_atom_site_fract_x
_atom_site_fract_y
_atom_site_fract_z
_atom_site_occupancy
Ge1 Ge 0.146 0.354 0.000 1
Ge2 Ge 0.354 0.854 0.000 1
Ge3 Ge 0.646 0.146 0.000 1
Ge4 Ge 0.854 0.646 0.000 1
Ru1 Ru 0.154 0.654 0.500 1
Ru2 Ru 0.346 0.154 0.500 1
Ru3 Ru 0.654 0.846 0.500 1
Ru4 Ru 0.846 0.346 0.500 1
W1 W 0.000 0.000 0.000 1
W2 W 0.500 0.500 0.000 1


# Rb2Ac2IrO6 | the Alexandria database | GGA-PBE | optimized geometry
# calculated total energy = -6.3833 eV per atom
# magnetic moment = 1.1 μB/f.u.
# ΔE_f (raw) = -1950 meV per atom
data_Rb2Ac2IrO6
_cell_length_a 6.214
_cell_length_b 6.214
_cell_length_c 6.915
_cell_angle_alpha 96.62
_cell_angle_beta 96.62
_cell_angle_gamma 118.97
_space_group_name_H-M_alt 'P 1'
_space_group_IT_number 1
loop_
_space_group_symop_operation_xyz
'x,y,z'
loop_
_atom_site_label
_atom_site_type_symbol
_atom_site_fract_x
_atom_site_fract_y
_atom_site_fract_z
_atom_site_occupancy
Rb1 Rb 0.154 0.846 0.000 1
Rb2 Rb 0.846 0.154 0.000 1
Ac1 Ac 0.337 0.663 0.500 1
Ac2 Ac 0.663 0.337 0.500 1
Ir1 Ir 0.000 0.000 0.500 1
O1 O 0.038 0.331 0.662 1
O2 O 0.230 0.230 0.325 1
O3 O 0.331 0.038 0.662 1
O4 O 0.669 0.962 0.338 1
O5 O 0.770 0.770 0.675 1
O6 O 0.962 0.669 0.338 1


# ZrTi2Bi | the Alexandria database | GGA-PBE | optimized geometry
# calculated total energy = -6.9092 eV per atom
# magnetic moment = 0.7 μB/f.u.
data_ZrTi2Bi
_cell_length_a 4.996
_cell_length_b 4.996
_cell_length_c 8.071
_cell_angle_alpha 90.00
_cell_angle_beta 90.00
_cell_angle_gamma 119.99
_space_group_name_H-M_alt 'P 1'
_space_group_IT_number 1
loop_
_space_group_symop_operation_xyz
'x,y,z'
loop_
_atom_site_label
_atom_site_type_symbol
_atom_site_fract_x
_atom_site_fract_y
_atom_site_fract_z
_atom_site_occupancy
Zr1 Zr 0.001 0.999 0.750 1
Zr2 Zr 0.999 0.001 0.250 1
Ti1 Ti 0.333 0.667 0.095 1
Ti2 Ti 0.333 0.667 0.405 1
Ti3 Ti 0.667 0.333 0.595 1
Ti4 Ti 0.667 0.333 0.905 1
Bi1 Bi 0.334 0.666 0.750 1
Bi2 Bi 0.666 0.334 0.250 1


Q: The highest magnetic moment belongs to which entry?
A: Ho2Pu3ThSe6